Below is a relaxed Li2Ac2MnO6 crystal, with properties calculated at the GGA+U level.

Structure (POSCAR):
```
Li2Ac2MnO6
1.0
5.663 0.000 0.000
2.832 4.905 0.000
2.832 1.635 4.851
Li Ac Mn O
2 2 1 6
Cartesian
5.663 3.270 3.442 Li
5.663 3.270 1.409 Li
8.495 4.905 3.356 Ac
2.832 1.635 1.495 Ac
0.000 0.000 0.000 Mn
7.183 4.147 1.188 O
4.144 4.147 1.188 O
5.663 1.515 1.188 O
5.663 5.024 3.663 O
7.183 2.392 3.663 O
4.144 2.392 3.663 O
```

E_tot = -6.846 eV/atom
total magnetization = 2.98 μB/f.u.
theoretical density = 7.63 g/cm³
space-group type = R-3m (166)